<P>
# CaTi3C PBE optimized geometry
data_CaTi3C
_symmetry_space_group_name_H-M 'P 1'
_symmetry_Int_Tables_number 1
_symmetry_space_group_name_Hall 'P 1'
_cell_length_a 4.479
_cell_length_b 4.479
_cell_length_c 4.479
_cell_angle_alpha 90.00
_cell_angle_beta 90.00
_cell_angle_gamma 90.00
loop_
_atom_site_label
_atom_site_type_symbol
_atom_site_fract_x
_atom_site_fract_y
_atom_site_fract_z
Ca1 Ca 0.000 0.000 0.000
Ti1 Ti 0.000 0.000 0.500
Ti2 Ti 0.000 0.500 0.000
Ti3 Ti 0.500 0.000 0.000
C1 C 0.500 0.500 0.500
# Symmetry: No. 221
# Total moment (μB per cell): 1.90

=====

<Q>
# CaTi3C PBE optimized geometry
data_CaTi3C
_symmetry_space_group_name_H-M 'P 1'
_symmetry_Int_Tables_number 1
_symmetry_space_group_name_Hall 'P 1'
_cell_length_a 4.409
_cell_length_b 4.409
_cell_length_c 4.409
_cell_angle_alpha 90.00
_cell_angle_beta 90.00
_cell_angle_gamma 90.00
loop_
_atom_site_label
_atom_site_type_symbol
_atom_site_fract_x
_atom_site_fract_y
_atom_site_fract_z
Ca1 Ca 0.000 0.000 0.000
Ti1 Ti 0.000 0.500 0.500
Ti2 Ti 0.500 0.000 0.500
Ti3 Ti 0.500 0.500 0.000
C1 C 0.500 0.500 0.500
# Symmetry: No. 221
# Total moment (μB per cell): 0.00

=====

Most stable: <Q> (next structure +2798 meV per atom)

=====

<P>
# CaTl2C PBE optimized geometry
data_CaTl2C
_symmetry_space_group_name_H-M 'P 1'
_symmetry_Int_Tables_number 1
_symmetry_space_group_name_Hall 'P 1'
_cell_length_a 5.081
_cell_length_b 5.081
_cell_length_c 5.081
_cell_angle_alpha 60.00
_cell_angle_beta 60.00
_cell_angle_gamma 60.00
loop_
_atom_site_label
_atom_site_type_symbol
_atom_site_fract_x
_atom_site_fract_y
_atom_site_fract_z
Ca1 Ca 0.000 0.000 0.000
Tl1 Tl 0.250 0.250 0.250
Tl2 Tl 0.750 0.750 0.750
C1 C 0.500 0.500 0.500
# Symmetry: No. 225
# Total moment (μB per cell): 0.00

=====

<Q>
# CaTl2C PBE optimized geometry
data_CaTl2C
_symmetry_space_group_name_H-M 'P 1'
_symmetry_Int_Tables_number 1
_symmetry_space_group_name_Hall 'P 1'
_cell_length_a 6.448
_cell_length_b 6.448
_cell_length_c 6.448
_cell_angle_alpha 99.91
_cell_angle_beta 99.91
_cell_angle_gamma 130.98
loop_
_atom_site_label
_atom_site_type_symbol
_atom_site_fract_x
_atom_site_fract_y
_atom_site_fract_z
Ca1 Ca 0.000 0.000 0.000
Ca2 Ca 0.750 0.250 0.500
Tl1 Tl 0.219 0.625 0.094
Tl2 Tl 0.375 0.469 0.594
Tl3 Tl 0.531 0.125 0.906
Tl4 Tl 0.875 0.781 0.406
C1 C 0.250 0.750 0.500
C2 C 0.500 0.500 0.000
# Symmetry: No. 122
# Total moment (μB per cell): 0.00

=====

Most stable: <Q> (next structure +444 meV per atom)